[1]
First-principles (PBE-GGA) data for an optimized crystal structure of TaPt4W, as listed in Alexandria.

a b c (Å): 9.062 9.062 4.802
angles (deg): 74.62 74.62 30.73
Sites, in units of the cell vectors:
Ta (0.250, 0.750, 0.250)
Ta (0.750, 0.250, 0.750)
Pt (0.333, 0.833, 0.667)
Pt (0.167, 0.667, 0.833)
Pt (0.667, 0.167, 0.333)
Pt (0.833, 0.333, 0.167)
Pt (0.919, 0.419, 0.581)
Pt (0.581, 0.081, 0.919)
Pt (0.081, 0.581, 0.419)
Pt (0.419, 0.919, 0.081)
W (0.500, 0.000, 0.500)
W (0.000, 0.500, 0.000)

ΔH_f (0 K): -11.34 kcal/mol of atoms


[2]
First-principles (PBE-GGA) data for an optimized crystal structure of MgBMo2Pt, as listed in Alexandria.

a b c (Å): 4.603 4.401 4.603
angles (deg): 90.00 90.00 90.00
Each line ends with the local moment (μB).
Sites, in units of the cell vectors:
Mo (0.000, 0.000, 0.500)  0.87
Mo (0.500, 0.000, 0.000)  0.99
B (0.500, 0.500, 0.500)  -0.06
Mg (0.000, 0.000, 0.000)  0.02
Pt (0.000, 0.500, 0.000)  0.02

ΔH_f (0 K): 58.13 kcal/mol of atoms


[3]
First-principles (PBE-GGA) data for an optimized crystal structure of Nd16Dy7Ho6, as listed in Alexandria.

a b c (Å): 11.308 11.308 11.308
angles (deg): 60.00 60.00 60.00
Sites, in units of the cell vectors:
Nd (0.875, 0.875, 0.375)
Nd (0.875, 0.875, 0.875)
Nd (0.875, 0.375, 0.875)
Nd (0.375, 0.875, 0.875)
Nd (0.125, 0.125, 0.125)
Nd (0.125, 0.125, 0.625)
Nd (0.125, 0.625, 0.125)
Nd (0.625, 0.125, 0.125)
Nd (0.649, 0.649, 0.052)
Nd (0.649, 0.649, 0.649)
Nd (0.649, 0.052, 0.649)
Nd (0.052, 0.649, 0.649)
Nd (0.351, 0.351, 0.351)
Nd (0.351, 0.351, 0.948)
Nd (0.351, 0.948, 0.351)
Nd (0.948, 0.351, 0.351)
Dy (0.000, 0.000, 0.000)
Dy (0.500, 0.000, 0.500)
Dy (0.000, 0.500, 0.000)
Dy (0.000, 0.500, 0.500)
Dy (0.500, 0.000, 0.000)
Dy (0.000, 0.000, 0.500)
Dy (0.500, 0.500, 0.000)
Ho (0.265, 0.735, 0.265)
Ho (0.735, 0.265, 0.735)
Ho (0.735, 0.265, 0.265)
Ho (0.265, 0.735, 0.735)
Ho (0.735, 0.735, 0.265)
Ho (0.265, 0.265, 0.735)

ΔH_f (0 K): 4.84 kcal/mol of atoms


[4]
First-principles (PBE-GGA) data for an optimized crystal structure of ZnCrTe2, as listed in Alexandria.

a b c (Å): 4.044 4.044 5.758
angles (deg): 90.00 90.00 90.01
Each line ends with the local moment (μB).
Sites, in units of the cell vectors:
Cr (0.500, 0.500, 0.875)  -3.60
Te (0.000, 0.000, 0.875)  0.11
Te (0.500, 0.500, 0.375)  0.09
Zn (0.000, 0.000, 0.376)  -0.02

ΔE_f (raw): -10 kJ per mole of atoms


Number 1: E_tot -8.65 eV per atom. Number 2: E_tot -4.67 eV per atom. Number 3: E_tot -4.48 eV per atom. Number 4: E_tot -4.40 eV per atom.